{
  "formula": "BeAuS2Cl",
  "functional": "SCAN",
  "state": "PBEsol geometry",
  "magnetic_moment_mub_per_fu": 0.00,
  "raw_formation_energy_kj_per_mol_atoms": 34,
  "final_energy_ev_per_atom": -19.80,
  "spacegroup": "P4/mmm, No. 123",
  "cell": [[4.4449, 0.0000, 0.0000], [0.0000, 4.4449, 0.0000], [0.0000, 0.0000, 4.1104]],
  "species": ["Be", "Au", "S", "S", "Cl"],
  "fractional_positions": [[0.0000, 0.0000, 0.0000], [0.5000, 0.5000, 0.5000], [0.0000, 0.5000, 0.0000], [0.5000, 0.0000, 0.0000], [0.0000, 0.0000, 0.5000]]
}